[1]
A plane-wave DFT calculation with PBE was carried out for crystalline Pr6SiSe12 at its relaxed geometry. Values from VASP.

```
&SYSTEM
  ibrav = 0, nat = 19, ntyp = 3
/
ATOMIC_SPECIES
Se 78.96 Se.upf
Si 28.09 Si.upf
Pr 140.91 Pr.upf
CELL_PARAMETERS angstrom
8.3199 -0.0100 -0.0120
-1.2712 8.2222 -0.0120
-1.2712 -1.4810 8.0877
ATOMIC_POSITIONS angstrom
Se -1.1726 7.6116 2.4339
Se 1.7656 5.9031 4.4950
Se -1.9239 4.3355 7.6339
Se 3.0612 2.2557 6.6113
Se 7.7014 2.3957 0.4299
Se 6.9501 -0.8804 5.6299
Se 1.2004 -1.0022 7.9240
Se 4.0119 0.8281 3.5688
Se 4.5771 7.7334 0.1398
Se 5.5672 3.9509 3.4008
Se 2.7163 4.4754 1.4525
Se 0.2103 2.7803 4.6630
Si 0.0000 0.0000 0.0000
Pr 1.4629 0.1448 5.1214
Pr 4.3146 6.5863 2.9424
Pr 5.8561 1.9545 5.7043
Pr 1.0441 4.5252 7.0061
Pr 4.7333 2.2060 1.0577
Pr -0.0786 4.7766 2.3594
```

total magnetization: 0.0 μB/cell
uncorrected formation energy: -1.440 eV per atom

=====

[2]
A plane-wave DFT calculation with PBE was carried out for crystalline Pr2SiSe at its relaxed geometry. Values from VASP.

```
&SYSTEM
  ibrav = 0, nat = 4, ntyp = 3
/
ATOMIC_SPECIES
Pr 140.91 Pr.upf
Si 28.09 Si.upf
Se 78.96 Se.upf
CELL_PARAMETERS angstrom
-1.9748 3.6866 0.9375
-4.0555 -0.0335 1.3861
0.2850 0.7424 7.4782
ATOMIC_POSITIONS angstrom
Pr -1.4593 1.1036 2.3834
Pr -4.2859 3.2918 7.4184
Si 0.0000 0.0000 0.0000
Se -2.8726 2.1977 4.9009
```

total magnetization: 0.0 μB/cell
energy above the lowest structure with this stoichiometry: 22 meV per atom
uncorrected formation energy: -1.287 eV per atom

=====

[3]
A plane-wave DFT calculation with PBE was carried out for crystalline PrSiSe3 at its relaxed geometry. Values from VASP.

```
&SYSTEM
  ibrav = 0, nat = 20, ntyp = 3
/
ATOMIC_SPECIES
Se 78.96 Se.upf
Si 28.09 Si.upf
Pr 140.91 Pr.upf
CELL_PARAMETERS angstrom
-4.8466 -3.3849 -3.0438
5.6056 -4.0662 -4.4040
0.4290 -6.5122 6.5588
ATOMIC_POSITIONS angstrom
Se 2.5737 -4.0418 -1.0601
Se 0.3411 -5.8861 1.0434
Se -3.0313 -3.7896 -3.1808
Se 2.8589 -10.7995 -1.2620
Se -2.9280 -6.3126 -0.5596
Se 4.0300 -7.3003 -0.6021
Se -1.3950 -9.7799 0.0286
Se 0.5619 -8.4943 3.5723
Se -1.6803 -3.0222 0.2305
Se 4.2641 -9.8992 1.9352
Se 0.6576 -5.2038 -4.8262
Se 0.7743 -7.7175 -2.1967
Si 2.6682 -8.3019 4.5665
Si -1.2702 -8.8488 -2.2453
Si 3.3260 -11.8330 1.0175
Si -1.9280 -5.3177 1.3038
Pr 1.5177 -8.7788 0.6478
Pr 0.7615 -5.3164 4.1351
Pr 0.4051 -8.3215 -5.3517
Pr -0.3511 -4.8591 -1.8644
```

total magnetization: 0.0 μB/cell
energy above the lowest structure with this stoichiometry: 169 meV per atom
uncorrected formation energy: -1.005 eV per atom

=====

[4]
A plane-wave DFT calculation with PBE was carried out for crystalline Pr3SiSe2 at its relaxed geometry. Values from VASP.

```
&SYSTEM
  ibrav = 0, nat = 6, ntyp = 3
/
ATOMIC_SPECIES
Se 78.96 Se.upf
Pr 140.91 Pr.upf
Si 28.09 Si.upf
CELL_PARAMETERS angstrom
4.1355 0.0000 -1.1717
-0.6336 5.5888 -2.2365
-0.1263 -0.3155 7.4384
ATOMIC_POSITIONS angstrom
Se 2.6130 0.8319 1.3385
Se 0.7626 4.4414 2.6918
Pr 2.2693 3.5853 0.1255
Pr 1.1063 1.6880 3.9048
Pr 0.0000 0.0000 0.0000
Si -0.3168 2.7944 -1.1182
```

total magnetization: 0.0 μB/cell
energy above the lowest structure with this stoichiometry: 5 meV per atom
uncorrected formation energy: -1.531 eV per atom

=====

[5]
A plane-wave DFT calculation with PBE was carried out for crystalline Pr2SiSe5 at its relaxed geometry. Values from VASP.

```
&SYSTEM
  ibrav = 0, nat = 8, ntyp = 3
/
ATOMIC_SPECIES
Pr 140.91 Pr.upf
Se 78.96 Se.upf
Si 28.09 Si.upf
CELL_PARAMETERS angstrom
7.2380 -0.6866 0.6372
-0.6865 7.2379 -0.6374
-2.9053 -3.6456 4.7682
ATOMIC_POSITIONS angstrom
Pr -0.3617 3.8207 1.6927
Pr 3.4174 -0.3244 2.3300
Se -1.5127 1.5132 4.3254
Se 5.1450 5.2199 0.9681
Se 2.0527 -2.0523 4.1399
Se 3.9201 2.6313 2.5229
Se 1.3315 1.4066 0.9681
Si -3.1645 3.1650 4.1295
```

total magnetization: 0.0 μB/cell
uncorrected formation energy: -1.203 eV per atom

=====

[6]
A plane-wave DFT calculation with PBE was carried out for crystalline PrSmSiSe at its relaxed geometry. Values from VASP.

```
&SYSTEM
  ibrav = 0, nat = 4, ntyp = 4
/
ATOMIC_SPECIES
Si 28.09 Si.upf
Sm 150.36 Sm.upf
Pr 140.91 Pr.upf
Se 78.96 Se.upf
CELL_PARAMETERS angstrom
-3.1015 0.7634 -2.7878
0.5393 -0.9746 -4.0907
-3.4902 -6.4760 -1.1142
ATOMIC_POSITIONS angstrom
Si -1.9417 -2.7133 -1.8066
Sm -3.0310 -1.3502 -6.6689
Pr -3.4388 -4.3461 -3.8119
Se -4.9975 -6.1288 -5.7897
```

total magnetization: 0.0 μB/cell
uncorrected formation energy: -1.294 eV per atom

=====

[7]
A plane-wave DFT calculation with PBE was carried out for crystalline Pr6Si2SnSe3 at its relaxed geometry. Values from VASP.

```
&SYSTEM
  ibrav = 0, nat = 12, ntyp = 4
/
ATOMIC_SPECIES
Pr 140.91 Pr.upf
Se 78.96 Se.upf
Sn 118.71 Sn.upf
Si 28.09 Si.upf
CELL_PARAMETERS angstrom
-2.2358 -3.2464 -1.7761
5.2414 -5.7825 3.9712
-5.8793 3.0133 7.1555
ATOMIC_POSITIONS angstrom
Pr -0.4734 -4.4856 3.5326
Pr -2.4003 -1.5299 5.8180
Pr -3.0054 -1.6968 1.6226
Pr 1.3192 -1.4954 1.0727
Pr -4.1929 -4.5201 8.2779
Pr 0.1317 -4.3188 7.7281
Se 2.0416 -4.3501 5.3811
Se 1.5028 -4.5144 1.0976
Se -4.9153 -1.6654 3.9695
Sn -1.1179 -1.6232 -0.8881
Si -0.5866 -1.4676 3.4209
Si -2.2872 -4.5480 5.9298
```

total magnetization: 0.0 μB/cell
uncorrected formation energy: -1.280 eV per atom

=====

[8]
A plane-wave DFT calculation with PBE was carried out for crystalline TbPrSiSe at its relaxed geometry. Values from VASP.

```
&SYSTEM
  ibrav = 0, nat = 4, ntyp = 4
/
ATOMIC_SPECIES
Pr 140.91 Pr.upf
Se 78.96 Se.upf
Tb 158.93 Tb.upf
Si 28.09 Si.upf
CELL_PARAMETERS angstrom
4.2035 0.0000 0.0000
2.1017 3.6403 0.0000
2.1017 1.2134 6.9644
ATOMIC_POSITIONS angstrom
Pr 4.2035 2.4269 4.5620
Se 6.3052 3.6403 6.4702
Tb 6.3052 3.6403 1.2419
Si 2.1017 1.2134 2.8438
```

total magnetization: 0.0 μB/cell
uncorrected formation energy: -1.291 eV per atom

=====

[9]
A plane-wave DFT calculation with PBE was carried out for crystalline Pr8SiTe3Se4 at its relaxed geometry. Values from VASP.

```
&SYSTEM
  ibrav = 0, nat = 16, ntyp = 4
/
ATOMIC_SPECIES
Te 127.60 Te.upf
Se 78.96 Se.upf
Pr 140.91 Pr.upf
Si 28.09 Si.upf
CELL_PARAMETERS angstrom
-6.2776 -1.9702 5.8264
-4.5352 -4.0786 -6.2656
8.3419 -2.2589 1.5959
ATOMIC_POSITIONS angstrom
Te -5.4064 -3.0244 -0.2196
Te 1.9033 -3.1688 -2.3349
Te -1.2354 -4.1539 0.5784
Se 4.1710 -1.1295 0.7979
Se -3.1388 -0.9851 2.9132
Se 0.0000 0.0000 0.0000
Se 1.0322 -2.1146 3.7111
Pr -1.5487 -3.6559 3.7233
Pr -3.9699 -5.8479 0.3735
Pr -8.1636 -4.6476 -0.2046
Pr 5.6927 -3.6602 1.3613
Pr 1.4990 -2.4598 0.7833
Pr -4.8160 -3.5969 -3.3116
Pr 2.3451 -4.7108 4.4683
Pr -0.9222 -4.6518 -2.5666
Si -2.2676 -2.0393 -3.1328
```

total magnetization: 0.0 μB/cell
uncorrected formation energy: -1.580 eV per atom

=====

[10]
A plane-wave DFT calculation with PBE was carried out for crystalline Pr6SiTe3Se2 at its relaxed geometry. Values from VASP.

```
&SYSTEM
  ibrav = 0, nat = 12, ntyp = 4
/
ATOMIC_SPECIES
Pr 140.91 Pr.upf
Se 78.96 Se.upf
Te 127.60 Te.upf
Si 28.09 Si.upf
CELL_PARAMETERS angstrom
-3.2697 -2.1444 1.9474
2.0175 -7.3230 -4.6763
6.9074 0.4064 7.1458
ATOMIC_POSITIONS angstrom
Pr 5.4604 -7.1104 1.3387
Pr 0.5000 -1.6774 -1.0075
Pr 4.3431 -3.6141 3.3126
Pr 5.1552 -7.3836 5.4245
Pr 0.1947 -1.9507 3.0783
Pr 1.3120 -5.4469 1.1044
Se 3.2234 -6.4095 3.2536
Se 2.4318 -2.6515 1.1634
Te 3.4569 -6.3152 -1.1497
Te 2.1983 -2.7458 5.5667
Te -0.6261 -4.7337 -1.3644
Si -1.6349 -1.0722 0.9737
```

total magnetization: 0.0 μB/cell
uncorrected formation energy: -1.507 eV per atom

=====

[11]
A plane-wave DFT calculation with PBE was carried out for crystalline Pr6Si2TeSe3 at its relaxed geometry. Values from VASP.

```
&SYSTEM
  ibrav = 0, nat = 12, ntyp = 4
/
ATOMIC_SPECIES
Se 78.96 Se.upf
Pr 140.91 Pr.upf
Si 28.09 Si.upf
Te 127.60 Te.upf
CELL_PARAMETERS angstrom
-3.9259 0.9963 -1.5181
-0.6848 -7.9934 -3.4748
-1.6713 -1.6609 9.3943
ATOMIC_POSITIONS angstrom
Se -1.7592 -7.0634 -0.0861
Se -4.5228 -1.5946 4.4875
Se -2.3053 -3.4985 -2.4964
Pr -3.2889 -0.7256 1.8668
Pr -2.9931 -7.9324 2.5346
Pr -0.2364 -2.1650 -0.8096
Pr -3.5919 -4.5199 0.1604
Pr -6.0456 -6.4930 5.2110
Pr -2.6901 -4.1380 4.2410
Si -4.8363 -5.5887 2.6770
Si -1.4457 -3.0692 1.7245
Te -1.9629 0.4981 -0.7590
```

total magnetization: 0.0 μB/cell
uncorrected formation energy: -1.440 eV per atom

=====

[12]
A plane-wave DFT calculation with PBE was carried out for crystalline Pr8Si3Te4Se at its relaxed geometry. Values from VASP.

```
&SYSTEM
  ibrav = 0, nat = 16, ntyp = 4
/
ATOMIC_SPECIES
Pr 140.91 Pr.upf
Te 127.60 Te.upf
Si 28.09 Si.upf
Se 78.96 Se.upf
CELL_PARAMETERS angstrom
-4.4245 -7.5737 0.4170
2.6261 -1.0673 8.4786
-4.1436 7.3828 -2.3352
ATOMIC_POSITIONS angstrom
Pr -5.4014 0.8952 4.1536
Pr -3.3804 -2.8227 5.3261
Pr -2.7038 -5.8564 2.6107
Pr -0.5406 -2.1534 2.4068
Pr -2.5616 1.5644 1.2343
Pr -1.2117 0.9882 5.0919
Pr -4.7303 -2.2465 1.4685
Pr -3.2382 4.5981 3.9497
Te -2.2123 -3.7869 0.2085
Te -4.2841 -0.0955 -0.9591
Te 0.0000 0.0000 0.0000
Te -2.0718 3.6914 -1.1676
Si -0.7588 3.1577 3.0717
Si -2.9710 -0.6291 3.2802
Si -0.8992 -4.3205 4.4478
Se 1.3130 -0.5337 4.2393
```

total magnetization: 0.0 μB/cell
uncorrected formation energy: -1.289 eV per atom